# ScAlPt5

ScAlPt5 after structural relaxation (PBE, Alexandria).

Lattice parameters (Å, degrees): 3.999 3.999 7.175 90.00 90.00 90.00
Fractional positions:
Sc: 0.000 0.000 0.500
Al: 0.500 0.500 0.000
Pt: 0.000 0.500 0.784
Pt: 0.000 0.500 0.216
Pt: 0.500 0.000 0.784
Pt: 0.500 0.000 0.216
Pt: 0.500 0.500 0.500

Results
ΔH_f (0 K) = -0.90 eV/atom
DOS at the Fermi energy = 4.03 states/eV/f.u.
total magnetic moment = 0.00 μB/f.u.